# 1
Here is a relaxed Nb2VRu3 crystal from Alexandria via LeMat-Bulk. Energies are from GGA-PBE.

The structure in POSCAR format:
```
Nb2VRu3
1.0
2.994 0.000 0.000
0.000 2.994 0.000
0.000 0.000 10.229
Nb V Ru
2 1 3
Direct
0.500 0.500 0.827 Nb
0.500 0.500 0.173 Nb
0.500 0.500 0.500 V
0.000 0.000 0.000 Ru
0.000 0.000 0.643 Ru
0.000 0.000 0.357 Ru
```

# 2
Here is a relaxed TmAlZnPt3 crystal from Alexandria via LeMat-Bulk. Energies are from GGA-PBE.

The structure in POSCAR format:
```
TmAlZnPt3
1.0
5.643 0.000 0.000
0.000 6.736 0.000
0.000 -3.368 5.875
Tm Al Zn Pt
2 2 2 6
Direct
0.750 0.309 0.618 Tm
0.250 0.691 0.382 Tm
0.250 0.370 0.739 Al
0.750 0.630 0.261 Al
0.250 0.935 0.869 Zn
0.750 0.065 0.131 Zn
0.250 0.167 0.335 Pt
0.000 0.290 0.000 Pt
0.500 0.710 0.000 Pt
0.500 0.290 0.000 Pt
0.000 0.710 0.000 Pt
0.750 0.833 0.665 Pt
```

# 3
Here is a relaxed Cs2HoAsSe4 crystal from Alexandria via LeMat-Bulk. Energies are from GGA-PBE.

The structure in POSCAR format:
```
Cs2HoAsSe4
1.0
6.852 0.000 0.000
3.426 7.527 0.000
3.426 0.000 13.155
Cs Ho As Se
4 2 2 8
Direct
0.180 0.000 0.640 Cs
0.820 0.000 0.360 Cs
0.570 0.500 0.860 Cs
0.930 0.500 0.140 Cs
0.750 0.500 0.500 Ho
0.000 0.000 0.000 Ho
0.250 0.500 0.500 As
0.500 0.000 0.000 As
0.304 0.802 0.105 Se
0.212 0.198 0.895 Se
0.893 0.802 0.895 Se
0.591 0.198 0.105 Se
0.446 0.698 0.395 Se
0.538 0.302 0.605 Se
0.857 0.698 0.605 Se
0.159 0.302 0.395 Se
```

Values from the calculation:
**Uncorrected formation energy**: -8.290 eV/f.u.

# 4
Here is a relaxed ScAlV crystal from Alexandria via LeMat-Bulk. Energies are from GGA-PBE.

The structure in POSCAR format:
```
ScAlV
1.0
4.261 0.000 2.393
1.391 4.540 2.514
-0.211 0.161 5.367
Sc Al V
2 2 2
Direct
0.885 0.365 0.365 Sc
0.115 0.635 0.635 Sc
0.500 0.500 0.000 Al
0.500 0.000 0.500 Al
0.000 0.000 0.000 V
0.500 0.000 0.000 V
```

# 5
Here is a relaxed YAuCl2 crystal from Alexandria via LeMat-Bulk. Energies are from GGA-PBE.

The structure in POSCAR format:
```
YAuCl2
1.0
-4.750 -1.715 -1.443
0.921 -4.560 -2.438
1.626 1.584 4.736
Y Au Cl
1 1 2
Direct
0.250 0.750 0.500 Y
0.750 0.250 0.500 Au
0.000 0.000 0.000 Cl
0.500 0.500 0.000 Cl
```

Values from the calculation:
**Uncorrected formation energy**: -4.177 eV/f.u.

# 6
Here is a relaxed PmTm8Sn6 crystal from Alexandria via LeMat-Bulk. Energies are from GGA-PBE.

The structure in POSCAR format:
```
PmTm8Sn6
1.0
8.948 0.000 0.000
4.474 7.749 0.000
4.474 2.583 6.449
Pm Tm Sn
1 8 6
Direct
0.000 0.000 0.000 Pm
0.563 0.224 0.320 Tm
0.776 0.107 0.680 Tm
0.107 0.437 0.680 Tm
0.667 0.667 0.999 Tm
0.333 0.333 0.001 Tm
0.893 0.563 0.320 Tm
0.224 0.893 0.320 Tm
0.437 0.776 0.680 Tm
0.407 0.068 0.796 Sn
0.932 0.271 0.204 Sn
0.271 0.593 0.204 Sn
0.729 0.407 0.796 Sn
0.068 0.729 0.796 Sn
0.593 0.932 0.204 Sn
```

Quick rundown of electronic total energy, same order as above: -9.744; -5.311; -4.145; -6.645; -4.403; -4.807 eV per atom